! CsDyI2, optimized geometry, DFT PBE; values from VASP
! - E_form (uncorrected) (eV per formula unit) = -3.50
! - calculated volume (Å³/atom) = 38.6
&SYSTEM
  ibrav = 0, nat = 4, ntyp = 3
/
ATOMIC_SPECIES
I 126.90 I.upf
Cs 132.91 Cs.upf
Dy 162.50 Dy.upf
CELL_PARAMETERS angstrom
-2.6795 -1.9950 2.5444
0.3100 -4.1535 0.5351
5.4977 -0.5786 8.8012
ATOMIC_POSITIONS crystal
I 0.7338 0.7338 0.7986
I 0.2662 0.2662 0.2014
Cs 0.5000 0.5000 0.5000
Dy 0.0000 0.0000 0.0000